First-principles (GGA-PBE) data for a relaxed SmY2Cd crystal, as listed in Alexandria.

Properties
* calculated volume: 32.5 A^3/atom
* DFT total energy: -4.465 eV/atom
* ΔE_f: 176 meV/atom
* SG: No. 166
* E above lowest polymorph: 337.7 meV per atom
* theoretical density: 5.63 Mg/m³

Cell lengths 12.303, 12.303, 12.303 Å; angles 16.44, 16.44, 16.44 degrees
Fractional positions:
Sm 0.000 0.000 0.000
Y 0.412 0.412 0.412
Y 0.588 0.588 0.588
Cd 0.500 0.500 0.500